w) Density functional theory data (PBE) for an optimized crystal structure of BaB4O7.

Lattice parameters (Å, degrees): 8.402 10.739 13.154 104.81 90.00 90.00
Fractional coordinates of all 96 atoms:
O1 0.253 0.738 0.597
O2 0.753 0.262 0.903
B1 0.119 0.274 0.881
O3 0.527 0.339 0.840
B2 0.910 0.861 0.493
O4 0.997 0.831 0.571
B3 0.220 0.988 0.051
O5 0.912 0.794 0.389
B4 0.863 0.635 0.687
O6 0.229 0.049 0.156
B5 0.364 0.752 0.516
B6 0.821 0.400 0.607
B7 0.415 0.710 0.072
O7 0.693 0.968 0.024
O8 0.310 0.679 0.407
B8 0.915 0.290 0.428
Ba1 0.264 0.458 0.106
O9 0.617 0.110 0.489
B9 0.410 0.139 0.007
B10 0.321 0.600 0.893
B11 0.305 0.181 0.194
B12 0.381 0.274 0.381
O10 0.412 0.206 0.111
B13 0.720 0.012 0.449
O11 0.321 0.276 0.712
O12 0.193 0.032 0.476
O13 0.190 0.679 0.907
B14 0.090 0.139 0.507
O14 0.497 0.169 0.929
Ba2 0.385 0.891 0.295
O15 0.349 0.503 0.802
O16 0.383 0.890 0.511
O17 0.749 0.644 0.604
B15 0.363 0.365 0.813
B16 0.636 0.248 0.484
O18 0.479 0.299 0.467
O19 0.771 0.951 0.844
O20 0.729 0.951 0.344
O21 0.810 0.321 0.093
O22 0.690 0.321 0.593
O23 0.151 0.503 0.302
B17 0.679 0.400 0.107
O24 0.821 0.724 0.788
O25 0.503 0.831 0.071
O26 0.432 0.611 0.973
B18 0.195 0.181 0.694
Ba3 0.615 0.109 0.705
O27 0.068 0.611 0.473
O28 0.588 0.794 0.889
B19 0.637 0.635 0.187
O29 0.401 0.179 0.289
O30 0.117 0.890 0.011
O31 0.973 0.339 0.340
Ba4 0.764 0.542 0.394
O32 0.249 0.356 0.896
O33 0.751 0.644 0.104
O34 0.599 0.821 0.711
O35 0.521 0.701 0.533
B20 0.805 0.819 0.306
Ba5 0.115 0.891 0.795
O36 0.849 0.497 0.698
O37 0.883 0.110 0.989
O38 0.251 0.356 0.396
B21 0.137 0.365 0.313
B22 0.695 0.819 0.806
O39 0.307 0.032 0.976
B23 0.619 0.726 0.619
O40 0.088 0.206 0.611
O41 0.247 0.738 0.097
Ba6 0.736 0.542 0.894
B24 0.864 0.248 0.984
B25 0.085 0.710 0.572
O42 0.568 0.389 0.027
Ba7 0.885 0.109 0.205
O43 0.901 0.821 0.211
O44 0.979 0.701 0.033
O45 0.021 0.299 0.967
B26 0.881 0.726 0.119
B27 0.136 0.752 0.016
O46 0.807 0.968 0.524
O47 0.747 0.262 0.403
B28 0.585 0.290 0.928
O48 0.473 0.661 0.160
O49 0.099 0.179 0.789
Ba8 0.236 0.458 0.606
O50 0.003 0.169 0.429
O51 0.932 0.389 0.527
O52 0.271 0.049 0.656
O53 0.179 0.276 0.212
B29 0.590 0.861 0.993
O54 0.679 0.724 0.288
B30 0.179 0.600 0.393
O55 0.027 0.661 0.660
B31 0.280 0.988 0.551
O56 0.651 0.497 0.198
B32 0.780 0.012 0.949

Values from the calculation:
* volume: 1147 Å³ per cell



x) Density functional theory data (PBE) for an optimized crystal structure of BaB4O7.

Lattice parameters (Å, degrees): 4.348 9.102 11.110 90.00 90.00 90.00
Fractional coordinates of all 48 atoms:
O1 0.622 0.110 0.894
O2 0.622 0.110 0.606
O3 0.122 0.390 0.394
Ba1 0.231 0.647 0.250
O4 0.795 0.063 0.104
B1 0.208 0.589 0.874
B2 0.276 0.342 0.500
B3 0.276 0.342 0.000
Ba2 0.769 0.353 0.750
O5 0.619 0.304 0.461
O6 0.381 0.696 0.961
O7 0.881 0.804 0.039
O8 0.881 0.804 0.461
O9 0.788 0.868 0.250
Ba3 0.731 0.853 0.750
O10 0.878 0.610 0.894
B4 0.724 0.658 0.000
O11 0.712 0.368 0.250
B5 0.724 0.658 0.500
B6 0.224 0.842 0.500
O12 0.378 0.890 0.106
O13 0.119 0.196 0.961
O14 0.381 0.696 0.539
B7 0.708 0.911 0.126
B8 0.292 0.089 0.874
O15 0.295 0.437 0.604
O16 0.205 0.937 0.604
O17 0.705 0.563 0.396
B9 0.792 0.411 0.126
B10 0.792 0.411 0.374
O18 0.119 0.196 0.539
O19 0.619 0.304 0.039
O20 0.212 0.132 0.750
Ba4 0.269 0.147 0.250
O21 0.295 0.437 0.896
B11 0.208 0.589 0.626
O22 0.205 0.937 0.896
B12 0.708 0.911 0.374
B13 0.776 0.158 0.000
B14 0.224 0.842 0.000
B15 0.776 0.158 0.500
O23 0.878 0.610 0.606
O24 0.705 0.563 0.104
B16 0.292 0.089 0.626
O25 0.288 0.632 0.750
O26 0.122 0.390 0.106
O27 0.378 0.890 0.394
O28 0.795 0.063 0.396

Values from the calculation:
* volume: 440 Å³ per cell



Least stable structure: x)



w) Density functional theory data (PBE) for an optimized crystal structure of Ba2B2O5.

Lattice parameters (Å, degrees): 4.271 10.880 13.482 74.30 90.00 90.00
Fractional coordinates of all 36 atoms:
Ba1 0.752 0.102 0.362
Ba2 0.248 0.898 0.638
Ba3 0.778 0.580 0.589
O1 0.717 0.273 0.484
O2 0.246 0.947 0.420
O3 0.502 0.805 0.341
O4 0.787 0.586 0.887
O5 0.759 0.729 0.215
O6 0.498 0.195 0.659
B1 0.332 0.299 0.684
Ba4 0.748 0.102 0.862
Ba5 0.722 0.580 0.089
Ba6 0.278 0.420 0.911
B2 0.832 0.701 0.816
O7 0.754 0.053 0.580
O8 0.998 0.805 0.841
O9 0.746 0.053 0.080
B3 0.668 0.701 0.316
O10 0.713 0.586 0.387
B4 0.665 0.176 0.572
B5 0.835 0.176 0.072
O11 0.259 0.271 0.285
O12 0.213 0.414 0.113
B6 0.168 0.299 0.184
O13 0.254 0.947 0.920
B7 0.165 0.824 0.928
O14 0.283 0.727 0.516
B8 0.335 0.824 0.428
O15 0.002 0.195 0.159
O16 0.217 0.727 0.016
Ba7 0.222 0.420 0.411
O17 0.241 0.271 0.785
O18 0.783 0.273 0.984
Ba8 0.252 0.898 0.138
O19 0.741 0.729 0.715
O20 0.287 0.414 0.613

Values from the calculation:
* volume: 603 Å³ per cell



x) Density functional theory data (PBE) for an optimized crystal structure of Ba2B2O5.

Lattice parameters (Å, degrees): 4.155 7.752 5.838 112.09 90.00 105.54
Fractional coordinates of all 9 atoms:
O1 0.151 0.303 0.946
B1 0.899 0.797 0.899
B2 0.101 0.203 0.101
O2 0.151 0.303 0.357
Ba1 0.670 0.340 0.670
O3 0.849 0.697 0.054
O4 0.000 0.000 0.000
O5 0.849 0.697 0.643
Ba2 0.330 0.660 0.330

Values from the calculation:
* volume: 167 Å³ per cell



Least stable structure: x)



w) Density functional theory data (PBE) for an optimized crystal structure of Ba2B2O5.

Lattice parameters (Å, degrees): 4.283 6.691 10.874 105.28 90.11 90.83
Fractional coordinates of all 18 atoms:
O1 0.226 0.069 0.231
Ba1 0.781 0.679 0.920
O2 0.754 0.663 0.447
B1 0.327 0.868 0.201
O3 0.289 0.730 0.084
O4 0.246 0.337 0.553
B2 0.673 0.132 0.799
Ba2 0.751 0.224 0.399
O5 0.716 0.469 0.227
O6 0.284 0.531 0.773
B3 0.664 0.644 0.323
O7 0.494 0.817 0.304
O8 0.774 0.931 0.769
O9 0.506 0.183 0.696
O10 0.711 0.270 0.916
B4 0.336 0.356 0.677
Ba3 0.249 0.776 0.601
Ba4 0.219 0.321 0.080

Values from the calculation:
* volume: 301 Å³ per cell



x) Density functional theory data (PBE) for an optimized crystal structure of Ba2B2O5.

Lattice parameters (Å, degrees): 5.568 4.942 8.550 121.12 90.00 124.29
Fractional coordinates of all 9 atoms:
O1 0.000 0.000 0.000
B1 0.910 0.820 0.097
O2 0.699 0.399 0.991
O3 0.051 0.102 0.308
O4 0.301 0.601 0.009
B2 0.090 0.180 0.903
Ba1 0.688 0.376 0.287
Ba2 0.312 0.624 0.713
O5 0.949 0.898 0.692

Values from the calculation:
* volume: 152 Å³ per cell



Least stable structure: x)



w) Density functional theory data (PBE) for an optimized crystal structure of BaBP2O.

Lattice parameters (Å, degrees): 6.364 6.364 4.542 90.00 90.00 90.00
Each line ends with the local moment (μB).
Fractional coordinates of all 5 atoms:
O1 0.000 0.000 0.500  0.24
P1 0.500 0.000 0.000  0.92
Ba1 0.000 0.000 0.000  0.11
B1 0.500 0.500 0.500  -0.11
P2 0.000 0.500 0.000  0.92

Values from the calculation:
* volume: 184 Å³ per cell



x) Density functional theory data (PBE) for an optimized crystal structure of BaBP2O.

Lattice parameters (Å, degrees): 3.860 3.860 6.634 90.00 90.00 90.00
Each line ends with the local moment (μB).
Fractional coordinates of all 5 atoms:
O1 0.000 0.000 0.500  0.26
P1 0.000 0.500 0.000  0.02
Ba1 0.500 0.500 0.500  0.00
P2 0.500 0.000 0.000  0.02
B1 0.000 0.000 0.000  -0.01

Values from the calculation:
* volume: 99 Å³ per cell



Least stable structure: w)



w) Density functional theory data (PBE) for an optimized crystal structure of BaBP3.

Lattice parameters (Å, degrees): 5.717 5.717 5.717 90.00 90.00 90.00
Each line ends with the local moment (μB).
Fractional coordinates of all 5 atoms:
P1 0.000 0.500 0.000  0.22
P2 0.000 0.000 0.500  0.27
Ba1 0.000 0.000 0.000  -0.01
B1 0.500 0.500 0.500  -0.05
P3 0.500 0.000 0.000  0.15

Values from the calculation:
* volume: 187 Å³ per cell



x) Density functional theory data (PBE) for an optimized crystal structure of BaBP3.

Lattice parameters (Å, degrees): 4.539 4.539 4.539 90.00 90.00 90.00
Fractional coordinates of all 5 atoms:
B1 0.000 0.000 0.000
P1 0.500 0.000 0.000
P2 0.000 0.000 0.500
Ba1 0.500 0.500 0.500
P3 0.000 0.500 0.000

Values from the calculation:
* volume: 94 Å³ per cell



Least stable structure: w)



w) Density functional theory data (PBE) for an optimized crystal structure of BaBP2S.

Lattice parameters (Å, degrees): 4.249 4.249 5.698 90.00 90.00 90.00
Fractional coordinates of all 5 atoms:
P1 0.000 0.500 0.000
Ba1 0.500 0.500 0.500
B1 0.000 0.000 0.000
P2 0.500 0.000 0.000
S1 0.000 0.000 0.500

Values from the calculation:
* volume: 103 Å³ per cell



x) Density functional theory data (PBE) for an optimized crystal structure of BaBP2S.

Lattice parameters (Å, degrees): 6.339 6.339 5.788 90.00 90.00 90.00
Each line ends with the local moment (μB).
Fractional coordinates of all 5 atoms:
B1 0.500 0.500 0.500  -0.18
P1 0.000 0.500 0.000  0.93
Ba1 0.000 0.000 0.000  0.07
P2 0.500 0.000 0.000  0.93
S1 0.000 0.000 0.500  0.26

Values from the calculation:
* volume: 233 Å³ per cell



Least stable structure: x)



w) Density functional theory data (PBE) for an optimized crystal structure of BaB3Pb.

Lattice parameters (Å, degrees): 4.834 4.834 4.834 90.00 90.00 90.00
Fractional coordinates of all 5 atoms:
B1 0.000 0.000 0.500
B2 0.500 0.000 0.000
Ba1 0.500 0.500 0.500
B3 0.000 0.500 0.000
Pb1 0.000 0.000 0.000

Values from the calculation:
* volume: 113 Å³ per cell



x) Density functional theory data (PBE) for an optimized crystal structure of BaB3Pb.

Lattice parameters (Å, degrees): 4.999 4.999 4.999 90.00 90.00 90.00
Fractional coordinates of all 5 atoms:
B1 0.500 0.000 0.000
Pb1 0.500 0.500 0.500
Ba1 0.000 0.000 0.000
B2 0.000 0.500 0.000
B3 0.000 0.000 0.500

Values from the calculation:
* volume: 125 Å³ per cell



Least stable structure: x)



w) Density functional theory data (PBE) for an optimized crystal structure of BaB2Pb.

Lattice parameters (Å, degrees): 4.831 4.831 8.957 74.36 74.36 90.00
Fractional coordinates of all 8 atoms:
Ba1 0.500 0.500 0.000
Ba2 0.250 0.750 0.500
Pb1 0.750 0.250 0.500
B1 0.875 0.125 0.750
B2 0.375 0.125 0.750
B3 0.875 0.625 0.250
Pb2 0.000 0.000 0.000
B4 0.875 0.125 0.250

Values from the calculation:
* volume: 193 Å³ per cell



x) Density functional theory data (PBE) for an optimized crystal structure of BaB2Pb.

Lattice parameters (Å, degrees): 4.959 4.959 4.959 60.00 60.00 60.00
Fractional coordinates of all 4 atoms:
Ba1 0.000 0.000 0.000
Pb1 0.500 0.500 0.500
B1 0.250 0.250 0.250
B2 0.750 0.750 0.750

Values from the calculation:
* volume: 86 Å³ per cell



Least stable structure: x)